# 1
A relaxed CeSm2Sc3Se6 crystal, computed with PBE.

Properties
Theoretical density: 6.28 g/cm³
Calculated total energy: -6.3032 eV per atom
Magnetization: 1.17 μB per cell

Unit cell a=9.0453 b=9.0453 c=8.1447 alpha=104.15 beta=104.15 gamma=25.49
With the nearest neighbours (Å) after each atom.
Fractional positions:
Ce  0.0000  0.0000  0.0000  6 Se 2.96
Sm  0.3339  0.3339  0.6673  6 Se 2.94-2.96
Sm  0.6661  0.6661  0.3327  6 Se 2.94-2.96
Sc  0.0000  0.0000  0.5000  6 Se 2.75-2.76
Sc  0.3329  0.3329  0.1633  6 Se 2.74-2.77
Sc  0.6671  0.6671  0.8367  6 Se 2.74-2.77
Se  0.1617  0.1617  0.5979  3 Sc 2.76-2.77, 3 Sm 2.95-2.96
Se  0.1728  0.1728  0.0716  3 Sc 2.74-2.75, 2 Sm 2.94, 1 Ce 2.96
Se  0.4944  0.4944  0.2654  3 Sc 2.75-2.76, 1 Sm 2.94, 2 Ce 2.96
Se  0.5056  0.5056  0.7346  3 Sc 2.75-2.76, 1 Sm 2.94, 2 Ce 2.96
Se  0.8272  0.8272  0.9284  3 Sc 2.74-2.75, 2 Sm 2.94, 1 Ce 2.96
Se  0.8383  0.8383  0.4021  3 Sc 2.76-2.77, 3 Sm 2.95-2.96



# 2
A relaxed Sm12ErIn6 crystal, computed with PBE.

Properties
Theoretical density: 7.74 g/cm³
Calculated total energy: -4.3154 eV per atom
Magnetization: 0.00 μB per cell
Energy of formation from the pure elements: -422 kJ/mol of formula units

Unit cell a=8.2957 b=8.2957 c=8.2957 alpha=88.93 beta=88.93 gamma=88.93
With the nearest neighbours (Å) after each atom.
Fractional positions:
Sm  0.0745  0.3828  0.1234  3 Sm 3.06-3.34, 1 In 3.31
Sm  0.1234  0.0745  0.3828  3 Sm 3.06-3.34, 1 In 3.31
Sm  0.1922  0.5641  0.4729  4 In 3.31-3.44, 4 Sm 3.40-3.47
Sm  0.3828  0.1234  0.0745  3 Sm 3.06-3.34, 1 In 3.31
Sm  0.4359  0.5271  0.8078  4 In 3.31-3.44, 4 Sm 3.40-3.47
Sm  0.4729  0.1922  0.5641  4 In 3.31-3.44, 4 Sm 3.40-3.47
Sm  0.5271  0.8078  0.4359  4 In 3.31-3.44, 4 Sm 3.40-3.47
Sm  0.5641  0.4729  0.1922  4 In 3.31-3.44, 4 Sm 3.40-3.47
Sm  0.6172  0.8766  0.9255  3 Sm 3.06-3.34, 1 In 3.31
Sm  0.8078  0.4359  0.5271  4 In 3.31-3.44, 4 Sm 3.40-3.47
Sm  0.8766  0.9255  0.6172  3 Sm 3.06-3.34, 1 In 3.31
Sm  0.9255  0.6172  0.8766  3 Sm 3.06-3.34, 1 In 3.31
Er  0.0000  0.0000  0.0000  6 In 3.24, 6 Sm 3.43
In  0.1226  0.2726  0.7444  1 Er 3.24, 7 Sm 3.31-3.45, 2 In 3.44
In  0.2556  0.8774  0.7274  1 Er 3.24, 7 Sm 3.31-3.45, 2 In 3.44
In  0.2726  0.7444  0.1226  1 Er 3.24, 7 Sm 3.31-3.45, 2 In 3.44
In  0.7274  0.2556  0.8774  1 Er 3.24, 7 Sm 3.31-3.45, 2 In 3.44
In  0.7444  0.1226  0.2726  1 Er 3.24, 7 Sm 3.31-3.45, 2 In 3.44
In  0.8774  0.7274  0.2556  1 Er 3.24, 7 Sm 3.31-3.45, 2 In 3.44



# 3
A relaxed Sr5ZnAg2 crystal, computed with PBE.

Properties
Theoretical density: 4.11 g/cm³
Calculated total energy: -2.1430 eV per atom
Magnetization: 0.00 μB per cell
Energy of formation from the pure elements: -170 kJ/mol of formula units

Unit cell a=10.0307 b=10.0307 c=10.0307 alpha=129.77 beta=129.77 gamma=73.78
With the nearest neighbours (Å) after each atom.
Fractional positions:
Sr  0.0000  0.0000  0.0000  4 Ag 3.39
Sr  0.0252  0.5252  0.8386  3 Ag 3.41-3.42, 2 Zn 3.59
Sr  0.1867  0.0252  0.5000  3 Ag 3.41-3.42, 2 Zn 3.59
Sr  0.3133  0.8133  0.8386  3 Ag 3.41-3.42, 2 Zn 3.59
Sr  0.4748  0.3133  0.5000  3 Ag 3.41-3.42, 2 Zn 3.59
Sr  0.5000  0.5000  0.0000  4 Ag 3.39
Sr  0.5252  0.6867  0.5000  3 Ag 3.41-3.42, 2 Zn 3.59
Sr  0.6867  0.1867  0.1614  3 Ag 3.41-3.42, 2 Zn 3.59
Sr  0.8133  0.9748  0.5000  3 Ag 3.41-3.42, 2 Zn 3.59
Sr  0.9748  0.4748  0.1614  3 Ag 3.41-3.42, 2 Zn 3.59
Zn  0.2500  0.2500  0.0000  10 Sr 3.59-4.01
Zn  0.7500  0.7500  0.0000  10 Sr 3.59-4.01
Ag  0.1214  0.3786  0.5000  1 Ag 2.92
Ag  0.3786  0.8786  0.2573  1 Ag 2.92
Ag  0.6214  0.1214  0.7427  1 Ag 2.92
Ag  0.8786  0.6214  0.5000  1 Ag 2.92



# 4
A relaxed Mo2Ru crystal, computed with PBE.

Properties
Energy above the most stable polymorph in this dataset: 0.900 eV per atom
Theoretical density: 8.97 g/cm³
Calculated total energy: -9.4057 eV per atom
Magnetization: 0.00 μB per cell
Energy of formation from the pure elements: 263 kJ/mol of formula units

Unit cell a=4.4268 b=4.4268 c=2.7683 alpha=90.00 beta=90.00 gamma=90.00
With the nearest neighbours (Å) after each atom.
Fractional positions:
Mo  0.0000  0.5000  0.0000  4 Ru 2.61, 2 Mo 2.77
Mo  0.5000  0.0000  0.0000  4 Ru 2.61, 2 Mo 2.77
Ru  0.0000  0.0000  0.5000  8 Mo 2.61, 2 Ru 2.77



# 5
A relaxed Sr2As3Pd4Pt crystal, computed with PBE.

Properties
Theoretical density: 8.33 g/cm³
Calculated total energy: -5.0881 eV per atom
Magnetization: 0.00 μB per cell
Energy of formation from the pure elements: -652 kJ/mol of formula units

Unit cell a=4.4181 b=4.4181 c=10.4297 alpha=90.00 beta=90.00 gamma=90.00
With the nearest neighbours (Å) after each atom.
Fractional positions:
Sr  0.0000  0.5000  0.2419  8 Pd 3.29-3.48, 2 Pt 3.35, 6 As 3.35-3.42
Sr  0.5000  0.0000  0.7581  8 Pd 3.29-3.48, 2 Pt 3.35, 6 As 3.35-3.42
As  0.0000  0.0000  0.0000  4 Pd 2.66
As  0.0000  0.5000  0.6242  5 Pd 2.44-2.56
As  0.5000  0.0000  0.3758  5 Pd 2.44-2.56
Pd  0.0000  0.0000  0.5000  4 As 2.56
Pd  0.0000  0.5000  0.8584  3 As 2.44-2.66, 2 Pt 2.66
Pd  0.5000  0.0000  0.1416  3 As 2.44-2.66, 2 Pt 2.66
Pd  0.5000  0.5000  0.5000  4 As 2.56
Pt  0.5000  0.5000  0.0000  4 Pd 2.66



# 6
A relaxed ErThTcIr crystal, computed with PBE.

Properties
Theoretical density: 13.51 g/cm³
Calculated total energy: -8.2570 eV per atom
Magnetization: 0.00 μB per cell
Energy of formation from the pure elements: -175 kJ/mol of formula units

Unit cell a=4.9304 b=4.9304 c=4.9304 alpha=60.00 beta=60.00 gamma=60.00
With the nearest neighbours (Å) after each atom.
Fractional positions:
Er  0.0000  0.0000  0.0000  4 Tc 3.02, 4 Ir 3.02
Th  0.5000  0.5000  0.5000  4 Tc 3.02, 4 Ir 3.02
Tc  0.7500  0.7500  0.7500  4 Th 3.02, 4 Er 3.02
Ir  0.2500  0.2500  0.2500  4 Th 3.02, 4 Er 3.02



# 7
A relaxed SrZrCd2 crystal, computed with PBE.

Properties
Theoretical density: 6.38 g/cm³
Calculated total energy: -2.6964 eV per atom
Magnetization: 1.92 μB per cell
Energy of formation from the pure elements: 123 kJ/mol of formula units

Unit cell a=5.2964 b=5.2964 c=5.2964 alpha=60.00 beta=60.00 gamma=60.00
With the nearest neighbours (Å) after each atom.
Fractional positions:
Sr  0.0000  0.0000  0.0000  4 Zr 3.24, 4 Cd 3.24
Zr  0.7500  0.7500  0.7500  4 Cd 3.24, 4 Sr 3.24
Cd  0.2500  0.2500  0.2500  4 Cd 3.24, 4 Sr 3.24
Cd  0.5000  0.5000  0.5000  4 Cd 3.24, 4 Zr 3.24



# 8
A relaxed PdPtBr4 crystal, computed with PBE.

Properties
Theoretical density: 5.54 g/cm³
Calculated total energy: -3.1174 eV per atom
Magnetization: 0.00 μB per cell

Unit cell a=6.5811 b=6.5811 c=10.0193 alpha=102.26 beta=102.26 gamma=62.41
With the nearest neighbours (Å) after each atom.
Fractional positions:
Pd  0.0000  0.5000  0.0000  4 Br 2.47-2.52
Pd  0.5000  0.0000  0.5000  4 Br 2.47-2.52
Pt  0.1240  0.8760  0.7500  4 Br 2.47
Pt  0.8760  0.1240  0.2500  4 Br 2.47
Br  0.1569  0.2799  0.3603  1 Pt 2.47, 1 Pd 2.52
Br  0.2031  0.7175  0.9677  1 Pd 2.47, 1 Pt 2.47
Br  0.2799  0.1569  0.8603  1 Pt 2.47, 1 Pd 2.52
Br  0.2825  0.7969  0.5323  1 Pd 2.47, 1 Pt 2.47
Br  0.7175  0.2031  0.4677  1 Pd 2.47, 1 Pt 2.47
Br  0.7201  0.8431  0.1397  1 Pt 2.47, 1 Pd 2.52
Br  0.7969  0.2825  0.0323  1 Pd 2.47, 1 Pt 2.47
Br  0.8431  0.7201  0.6397  1 Pt 2.47, 1 Pd 2.52